1.
Density functional theory data (GGA-PBE) for an optimized crystal structure of Sn2Pd9.

Results
The raw total energy is -4.920 eV per atom. As for the space group: P-3m1 (164).

a b c (Å): 2.9155 2.9155 35.0110
angles (deg): 90.00 90.00 120.00
Closest atoms and distances in Å follow each position.
Fractional positions:
Pd  0.0000  0.0000  0.0000  12 Pd 2.73-2.92
Pd  0.6667  0.3333  0.0615  12 Pd 2.73-2.92
Pd  0.3333  0.6667  0.1233  12 Pd 2.74-2.92
Pd  0.0000  0.0000  0.1858  12 Pd 2.76-2.92
Pd  0.6667  0.3333  0.2498  9 Pd 2.80-2.92, 3 Sn 2.82
Pd  0.3333  0.6667  0.7502  9 Pd 2.80-2.92, 3 Sn 2.82
Pd  0.0000  0.0000  0.8142  12 Pd 2.76-2.92
Pd  0.6667  0.3333  0.8767  12 Pd 2.74-2.92
Pd  0.3333  0.6667  0.9385  12 Pd 2.73-2.92
Sn  0.3333  0.6667  0.3144  3 Pd 2.82, 6 Sn 2.92
Sn  0.6667  0.3333  0.6856  3 Pd 2.82, 6 Sn 2.92


2.
Density functional theory data (GGA-PBE) for an optimized crystal structure of NbGaReNi.

Results
The raw total energy is -7.656 eV per atom. The size of the total moment comes out at 0.093 μB per formula unit. As for the space group: F-43m (216).

a b c (Å): 4.3892 4.3892 4.3892
angles (deg): 60.00 60.00 60.00
Closest atoms and distances in Å follow each position.
Fractional positions:
Ga  0.0000  0.0000  0.0000  4 Ni 2.69, 4 Nb 2.69
Nb  0.2500  0.2500  0.2500  4 Re 2.69, 4 Ga 2.69
Ni  0.7500  0.7500  0.7500  4 Re 2.69, 4 Ga 2.69
Re  0.5000  0.5000  0.5000  4 Ni 2.69, 4 Nb 2.69


3.
Density functional theory data (GGA-PBE) for an optimized crystal structure of U4Ge6Os7.

Results
The raw total energy is -9.265 eV per atom. The size of the total moment comes out at 2.930 μB per formula unit. As for the space group: Im-3m (229).

a b c (Å): 7.2172 7.2172 7.2172
angles (deg): 109.47 109.47 109.47
Closest atoms and distances in Å follow each position.
Fractional positions:
Ge  0.3080  0.3080  0.0000  5 Os 2.57-2.63
Ge  0.6920  0.6920  0.0000  5 Os 2.57-2.63
Ge  0.3080  0.0000  0.3080  5 Os 2.57-2.63
Ge  0.0000  0.3080  0.3080  5 Os 2.57-2.63
Ge  0.6920  0.0000  0.6920  5 Os 2.57-2.63
Ge  0.0000  0.6920  0.6920  5 Os 2.57-2.63
Os  0.0000  0.0000  0.0000  6 Ge 2.57
Os  0.7500  0.5000  0.2500  4 Ge 2.63
Os  0.5000  0.7500  0.2500  4 Ge 2.63
Os  0.7500  0.2500  0.5000  4 Ge 2.63
Os  0.2500  0.7500  0.5000  4 Ge 2.63
Os  0.5000  0.2500  0.7500  4 Ge 2.63
Os  0.2500  0.5000  0.7500  4 Ge 2.63
U  0.5000  0.0000  0.0000  6 Os 2.95, 6 Ge 2.99
U  0.0000  0.5000  0.0000  6 Os 2.95, 6 Ge 2.99
U  0.0000  0.0000  0.5000  6 Os 2.95, 6 Ge 2.99
U  0.5000  0.5000  0.5000  6 Os 2.95, 6 Ge 2.99


4.
Density functional theory data (GGA-PBE) for an optimized crystal structure of PrAlGePt2.

Results
The raw total energy is -6.079 eV per atom. The size of the total moment comes out at 0.007 μB per formula unit. As for the space group: P4/nmm (129).

a b c (Å): 4.3266 4.3266 10.3953
angles (deg): 90.00 90.00 90.00
Closest atoms and distances in Å follow each position.
Fractional positions:
Al  0.0000  0.0000  0.5000  4 Pt 2.55
Al  0.5000  0.5000  0.5000  4 Pt 2.55
Ge  0.0000  0.5000  0.1326  5 Pt 2.48-2.56
Ge  0.5000  0.0000  0.8674  5 Pt 2.48-2.56
Pr  0.5000  0.0000  0.2490  4 Ge 3.29, 8 Pt 3.31-3.37, 4 Al 3.39
Pr  0.0000  0.5000  0.7510  4 Ge 3.29, 8 Pt 3.31-3.37, 4 Al 3.39
Pt  0.0000  0.0000  0.0000  4 Ge 2.56
Pt  0.5000  0.5000  0.0000  4 Ge 2.56
Pt  0.0000  0.5000  0.3707  1 Ge 2.48, 4 Al 2.55
Pt  0.5000  0.0000  0.6293  1 Ge 2.48, 4 Al 2.55


5.
Density functional theory data (GGA-PBE) for an optimized crystal structure of YTlCuNi.

Results
The size of the total moment comes out at 0.001 μB per formula unit. As for the space group: F-43m (216). The value obtained for the distance to the lowest polymorph of the same formula is 0.00 eV/f.u.

a b c (Å): 4.6981 4.6981 4.6981
angles (deg): 60.00 60.00 60.00
Closest atoms and distances in Å follow each position.
Fractional positions:
Cu  0.7500  0.7500  0.7500  4 Y 2.88, 4 Tl 2.88
Ni  0.2500  0.2500  0.2500  4 Tl 2.88, 4 Y 2.88
Tl  0.0000  0.0000  0.0000  4 Cu 2.88, 4 Ni 2.88
Y  0.5000  0.5000  0.5000  4 Ni 2.88, 4 Cu 2.88


6.
Density functional theory data (GGA-PBE) for an optimized crystal structure of Hf2PN.

Results
The raw total energy is -9.865 eV per atom. The size of the total moment comes out at 0.000 μB per formula unit. As for the space group: P6_3/mmc (194).

a b c (Å): 5.7997 5.7997 12.4102
angles (deg): 103.54 103.54 59.97
Closest atoms and distances in Å follow each position.
Fractional positions:
Hf  0.2009  0.0341  0.1024  3 N 2.29
Hf  0.5342  0.3676  0.1024  3 N 2.29
Hf  0.8674  0.7009  0.1024  3 N 2.29
Hf  0.2991  0.1326  0.3976  3 N 2.29
Hf  0.6324  0.4658  0.3976  3 N 2.29
Hf  0.9659  0.7991  0.3976  3 N 2.29
Hf  0.0341  0.2009  0.6024  3 N 2.29
Hf  0.3676  0.5342  0.6024  3 N 2.29
Hf  0.7009  0.8674  0.6024  3 N 2.29
Hf  0.1326  0.2991  0.8976  3 N 2.29
Hf  0.4658  0.6324  0.8976  3 N 2.29
Hf  0.7991  0.9659  0.8976  3 N 2.29
N  0.5000  0.0000  0.0000  6 Hf 2.29
N  0.8336  0.3334  0.0000  6 Hf 2.29
N  0.1664  0.6666  0.0000  6 Hf 2.29
N  0.3334  0.8336  0.5000  6 Hf 2.29
N  0.0000  0.5000  0.5000  6 Hf 2.29
N  0.6666  0.1664  0.5000  6 Hf 2.29
P  0.2504  0.4163  0.2500  6 Hf 2.62
P  0.9169  0.0831  0.2500  6 Hf 2.62
P  0.5837  0.7496  0.2500  6 Hf 2.62
P  0.4163  0.2504  0.7500  6 Hf 2.62
P  0.0831  0.9169  0.7500  6 Hf 2.62
P  0.7496  0.5837  0.7500  6 Hf 2.62


7.
Density functional theory data (GGA-PBE) for an optimized crystal structure of K3ReC4N4O2.

Results
The raw total energy is -7.135 eV per atom. The size of the total moment comes out at 0.000 μB per formula unit. As for the space group: P-1 (2).

a b c (Å): 7.1450 7.0396 6.3878
angles (deg): 116.58 95.25 109.06
Closest atoms and distances in Å follow each position.
Fractional positions:
C  0.3355  0.3304  0.1920  1 N 1.20
C  0.8605  0.0398  0.2874  1 N 1.18
C  0.1395  0.9602  0.7127  1 N 1.18
C  0.6645  0.6696  0.8079  1 N 1.20
K  0.5001  0.0000  0.0000  2 O 2.78-2.79, 4 C 2.79-2.88, 2 N 2.96
K  0.8253  0.5831  0.2116  2 O 2.75-2.79, 2 N 2.77-2.92, 1 C 2.95
K  0.1747  0.4167  0.7884  2 O 2.75-2.79, 2 N 2.77-2.91, 1 C 2.95
N  0.2494  0.3144  0.3401  1 C 1.20
N  0.7727  0.0821  0.4380  1 C 1.18
N  0.2273  0.9180  0.5620  1 C 1.18
N  0.7506  0.6855  0.6598  1 C 1.20
O  0.1031  0.8100  0.0331  1 Re 1.80
O  0.8968  0.1902  0.9669  1 Re 1.80
Re  0.0000  0.0000  0.0000  2 O 1.80


8.
Density functional theory data (GGA-PBE) for an optimized crystal structure of SmTlHgTe3.

Results
The size of the total moment comes out at 0.006 μB per formula unit. As for the space group: P2_1/m (11). The value obtained for the distance to the lowest polymorph of the same formula is 0.13 eV/f.u.

a b c (Å): 8.7747 4.4838 11.1068
angles (deg): 90.00 107.11 90.00
Closest atoms and distances in Å follow each position.
Fractional positions:
Hg  0.9145  0.7500  0.3814  4 Te 2.81-3.05
Hg  0.0855  0.2500  0.6186  4 Te 2.81-3.05
Sm  0.6920  0.2500  0.1421  6 Te 3.09-3.28
Sm  0.3080  0.7500  0.8579  6 Te 3.09-3.28
Te  0.9449  0.7500  0.1362  1 Hg 2.81
Te  0.4438  0.7500  0.1479  3 Sm 3.09-3.14, 2 Tl 3.40
Te  0.7437  0.2500  0.4467  3 Hg 2.90-3.05
Te  0.2563  0.7500  0.5533  3 Hg 2.90-3.05
Te  0.5562  0.2500  0.8521  3 Sm 3.09-3.14, 2 Tl 3.40
Te  0.0551  0.2500  0.8638  1 Hg 2.81
Tl  0.2603  0.2500  0.2887  6 Te 3.40-3.71
Tl  0.7397  0.7500  0.7113  6 Te 3.40-3.71


9.
Density functional theory data (GGA-PBE) for an optimized crystal structure of InCuReMo.

Results
The size of the total moment comes out at 0.003 μB per formula unit. As for the space group: F-43m (216). The value obtained for the distance to the lowest polymorph of the same formula is 0.00 eV/f.u.

a b c (Å): 4.4753 4.4753 4.4753
angles (deg): 60.00 60.00 60.00
Closest atoms and distances in Å follow each position.
Fractional positions:
Cu  0.7500  0.7500  0.7500  4 Mo 2.74, 4 In 2.74
In  0.0000  0.0000  0.0000  4 Cu 2.74, 4 Re 2.74
Mo  0.5000  0.5000  0.5000  4 Cu 2.74, 4 Re 2.74
Re  0.2500  0.2500  0.2500  4 In 2.74, 4 Mo 2.74


10.
Density functional theory data (GGA-PBE) for an optimized crystal structure of SrNiB4.

Results
The size of the total moment comes out at 0.001 μB per formula unit. As for the space group: P6/mmm (191). The value obtained for the distance to the lowest polymorph of the same formula is 0.00 eV/f.u.

a b c (Å): 3.1512 3.1512 7.1906
angles (deg): 90.00 90.00 120.00
Closest atoms and distances in Å follow each position.
Fractional positions:
B  0.6667  0.3333  0.1905  3 B 1.82
B  0.3333  0.6667  0.1905  3 B 1.82
B  0.6667  0.3333  0.8095  3 B 1.82
B  0.3333  0.6667  0.8095  3 B 1.82
Ni  0.0000  0.0000  0.0000  12 B 2.28
Sr  0.0000  0.0000  0.5000  12 B 2.87, 6 Sr 3.15


11.
Density functional theory data (GGA-PBE) for an optimized crystal structure of LuFeNiBi.

Results
The size of the total moment comes out at 2.517 μB per formula unit. As for the space group: F-43m (216). The value obtained for the distance to the lowest polymorph of the same formula is 1.11 eV/f.u.

a b c (Å): 4.7431 4.7431 4.7431
angles (deg): 60.00 60.00 60.00
Closest atoms and distances in Å follow each position.
Fractional positions:
Bi  0.0000  0.0000  0.0000  4 Ni 2.90, 4 Lu 2.90
Fe  0.5000  0.5000  0.5000  4 Lu 2.90, 4 Ni 2.90
Lu  0.2500  0.2500  0.2500  4 Fe 2.90, 4 Bi 2.90
Ni  0.7500  0.7500  0.7500  4 Bi 2.90, 4 Fe 2.90